The following is a DFT calculation (PBE-GGA) of an optimized crystal structure of GdScGa4Pt2.

abc: 6.6539 5.4635 5.4635
angles: 46.66 90.00 90.00
Fractional positions:
Gd: 0.0000 0.0000 0.0000
Sc: 0.5000 0.8319 0.8319
Ga: 0.2046 0.2892 0.2892
Ga: 0.3051 0.5486 0.5486
Ga: 0.6949 0.5486 0.5486
Ga: 0.7954 0.2892 0.2892
Pt: 0.0000 0.7122 0.7122
Pt: 0.5000 0.1198 0.1198

Computed properties:
Total DFT energy (no corrections)   -5.30 eV/atom